Density functional theory data (GGA-PBE) for an optimized crystal structure of BaMo2Ir.

abc: 10.766 10.766 10.766
angles: 15.66 15.66 15.66
Fractional positions:
Mo  0.485  0.485  0.485
Mo  0.015  0.015  0.015
Ba  0.250  0.250  0.250
Ir  0.750  0.750  0.750

E_form: 0.9547 eV per atom
energy relative to the lowest polymorph listed for this composition: 458 meV per atom

---

Density functional theory data (GGA-PBE) for an optimized crystal structure of Ba3MoIr.

abc: 6.060 6.060 6.060
angles: 90.00 90.00 90.00
Site moments in Bohr magnetons follow the coordinates.
Fractional positions:
Ba  0.000  0.500  0.000  -0.02
Ba  0.000  0.000  0.500  -0.02
Ba  0.500  0.000  0.000  -0.01
Mo  0.500  0.500  0.500  3.72
Ir  0.000  0.000  0.000  0.05

E_form: 0.7588 eV per atom
energy relative to the lowest polymorph listed for this composition: 0 meV per atom

---

Density functional theory data (GGA-PBE) for an optimized crystal structure of BaMo4Ir.

abc: 5.432 5.432 5.432
angles: 60.00 60.00 60.00
Fractional positions:
Mo  0.375  0.375  0.875
Mo  0.875  0.375  0.375
Mo  0.375  0.875  0.375
Mo  0.375  0.375  0.375
Ba  0.750  0.750  0.750
Ir  0.000  0.000  0.000

E_form: 0.8842 eV per atom

---

Density functional theory data (GGA-PBE) for an optimized crystal structure of BaMo2Ir.

abc: 3.112 3.424 8.012
angles: 90.00 90.00 90.00
Fractional positions:
Ir  0.500  0.500  0.821
Mo  0.500  0.500  0.166
Mo  0.000  0.000  0.001
Ba  0.000  0.000  0.513

E_form: 0.5340 eV per atom
energy relative to the lowest polymorph listed for this composition: 38 meV per atom

---

Density functional theory data (GGA-PBE) for an optimized crystal structure of BaNaMo2Ir.

abc: 4.858 6.082 4.858
angles: 90.00 90.00 90.00
Site moments in Bohr magnetons follow the coordinates.
Fractional positions:
Ir  0.000  0.000  0.000  0.01
Mo  0.500  0.000  0.000  0.88
Mo  0.000  0.000  0.500  0.80
Ba  0.000  0.500  0.000  -0.03
Na  0.500  0.500  0.500  -0.01

E_form: 1.1165 eV per atom